Entry 1:
## Sr3ScF (GGA-PBE)

Data for an optimized crystal structure of Sr3ScF.

Cell: 5.5081 5.5081 5.5081 Å, 90.00 90.00 90.00°
With the nearest neighbours (Å) after each atom.
Sites, in units of the cell vectors:
Sc1 0.5000 0.5000 0.5000  12 Sr 3.89
Sr1 0.0000 0.5000 0.0000  2 F 2.75
Sr2 0.0000 0.0000 0.5000  2 F 2.75
Sr3 0.5000 0.0000 0.0000  2 F 2.75
F1 0.0000 0.0000 0.0000  6 Sr 2.75

## Properties
ΔE to the lowest computed polymorph: 0 meV per atom
Energy relative to the elements, uncorrected: -841.6 meV/atom

***

Entry 2:
## ZnTc2Se (GGA-PBE)

Data for an optimized crystal structure of ZnTc2Se.

Cell: 2.9596 5.0091 5.1857 Å, 51.61 90.00 90.00°
With the nearest neighbours (Å) after each atom.
Sites, in units of the cell vectors:
Se1 0.0000 0.0000 0.5000  6 Tc 2.59-2.67
Tc1 0.0000 0.0000 0.0000  2 Se 2.59, 4 Zn 2.67
Tc2 0.5000 0.5000 0.0000  2 Zn 2.59, 4 Se 2.67
Zn1 0.5000 0.5000 0.5000  6 Tc 2.59-2.67

## Properties
ΔE to the lowest computed polymorph: 231 meV per atom
Energy relative to the elements, uncorrected: 281.7 meV/atom

***

Entry 3:
## AcNd6Ho8 (GGA-PBE)

Data for an optimized crystal structure of AcNd6Ho8.

Cell: 9.3391 9.3391 8.6537 Å, 57.34 57.34 60.00°
With the nearest neighbours (Å) after each atom.
Sites, in units of the cell vectors:
Ac1 0.0000 0.0000 0.0000  6 Nd 3.56, 6 Ho 3.96
Nd1 0.4511 0.8939 0.9233  3 Ho 3.24-3.49, 3 Nd 3.53-3.62, 1 Ac 3.56
Nd2 0.1061 0.2683 0.0767  3 Ho 3.24-3.49, 3 Nd 3.53-3.62, 1 Ac 3.56
Nd3 0.2683 0.5489 0.0767  3 Ho 3.24-3.49, 3 Nd 3.53-3.62, 1 Ac 3.56
Nd4 0.7317 0.4511 0.9233  3 Ho 3.24-3.49, 3 Nd 3.53-3.62, 1 Ac 3.56
Nd5 0.8939 0.7317 0.9233  3 Ho 3.24-3.49, 3 Nd 3.53-3.62, 1 Ac 3.56
Nd6 0.5489 0.1061 0.0767  3 Ho 3.24-3.49, 3 Nd 3.53-3.62, 1 Ac 3.56
Ho1 0.3543 0.2256 0.5041  7 Ho 3.43-3.72, 3 Nd 3.49-3.66
Ho2 0.7744 0.0839 0.4959  7 Ho 3.43-3.72, 3 Nd 3.49-3.66
Ho3 0.0839 0.6457 0.4959  7 Ho 3.43-3.72, 3 Nd 3.49-3.66
Ho4 0.5701 0.5701 0.2896  1 Ho 2.85
Ho5 0.4299 0.4299 0.7104  1 Ho 2.85
Ho6 0.9161 0.3543 0.5041  7 Ho 3.43-3.72, 3 Nd 3.49-3.66
Ho7 0.2256 0.9161 0.5041  7 Ho 3.43-3.72, 3 Nd 3.49-3.66
Ho8 0.6457 0.7744 0.4959  7 Ho 3.43-3.72, 3 Nd 3.49-3.66

## Properties
ΔE to the lowest computed polymorph: 0 meV per atom
ΔE_f: 169 meV/atom

***

Entry 4:
## TiTlAgSe3 (GGA-PBE)

Data for an optimized crystal structure of TiTlAgSe3.

Cell: 3.8003 8.2066 10.0675 Å, 110.37 90.00 90.00°
With the nearest neighbours (Å) after each atom.
Sites, in units of the cell vectors:
Ti1 0.2500 0.6950 0.1628  6 Se 2.51-2.68
Ti2 0.7500 0.3050 0.8372  6 Se 2.51-2.68
Tl1 0.2500 0.2620 0.2799  7 Se 3.25-3.54
Tl2 0.7500 0.7380 0.7201  7 Se 3.25-3.54
Ag1 0.2500 0.0591 0.6123  4 Se 2.58-2.79, 2 Ag 2.85
Ag2 0.7500 0.9409 0.3877  4 Se 2.58-2.79, 2 Ag 2.85
Se1 0.7500 0.8916 0.1207  1 Ag 2.58, 2 Ti 2.62
Se2 0.2500 0.1084 0.8793  1 Ag 2.58, 2 Ti 2.62
Se3 0.2500 0.7200 0.4188  1 Ti 2.51, 3 Ag 2.72-2.79
Se4 0.7500 0.2800 0.5812  1 Ti 2.51, 3 Ag 2.72-2.79
Se5 0.7500 0.4576 0.1197  3 Ti 2.65-2.68
Se6 0.2500 0.5424 0.8803  3 Ti 2.65-2.68

## Properties
Energy relative to the elements, uncorrected: -668.8 meV/atom

***

Entry 5:
## LiHoSnOs (GGA-PBE)

Data for an optimized crystal structure of LiHoSnOs.

Cell: 4.7212 4.7212 4.7212 Å, 60.00 60.00 60.00°
With the nearest neighbours (Å) after each atom.
Sites, in units of the cell vectors:
Li1 0.5000 0.5000 0.5000  4 Ho 2.89, 4 Sn 2.89
Os1 0.0000 0.0000 0.0000  4 Sn 2.89, 4 Ho 2.89
Ho1 0.7500 0.7500 0.7500  4 Li 2.89, 4 Os 2.89
Sn1 0.2500 0.2500 0.2500  4 Os 2.89, 4 Li 2.89

## Properties
ΔE_f: -261 meV/atom

***

Entry 6:
## AcTh4Bi5 (GGA-PBE)

Data for an optimized crystal structure of AcTh4Bi5.

Cell: 4.6423 8.0594 10.3865 Å, 74.99 77.09 73.26°
With the nearest neighbours (Å) after each atom.
Sites, in units of the cell vectors:
Ac1 0.0000 0.0000 0.0000  6 Bi 3.37-3.39
Th1 0.5952 0.2061 0.6035  6 Bi 3.26-3.27
Th2 0.2026 0.3885 0.2063  6 Bi 3.25-3.28
Th3 0.7974 0.6115 0.7937  6 Bi 3.25-3.28
Th4 0.4048 0.7939 0.3965  6 Bi 3.26-3.27
Bi1 0.2024 0.9056 0.6896  5 Th 3.26-3.27, 1 Ac 3.37
Bi2 0.7976 0.0944 0.3104  5 Th 3.26-3.27, 1 Ac 3.37
Bi3 0.3915 0.3193 0.8976  4 Th 3.25-3.28, 2 Ac 3.39
Bi4 0.0000 0.5000 0.5000  6 Th 3.26
Bi5 0.6085 0.6807 0.1024  4 Th 3.25-3.28, 2 Ac 3.39

## Properties
ΔE_f: -641 meV/atom

***

Entry 7:
## Tb6Sm2YEr (GGA-PBE)

Data for an optimized crystal structure of Tb6Sm2YEr.

Cell: 9.6374 8.8194 8.8194 Å, 118.37 94.18 94.18°
With the nearest neighbours (Å) after each atom.
Sites, in units of the cell vectors:
Tb1 0.0562 0.1267 0.7495  7 Tb 3.40-3.74, 1 Sm 3.50, 1 Y 3.68
Tb2 0.4438 0.2505 0.8733  7 Tb 3.40-3.74, 1 Sm 3.50, 1 Y 3.68
Tb3 0.9438 0.8733 0.2505  7 Tb 3.40-3.74, 1 Sm 3.50, 1 Y 3.68
Tb4 0.5562 0.7495 0.1267  7 Tb 3.40-3.74, 1 Sm 3.50, 1 Y 3.68
Tb5 0.3126 0.9805 0.4272  3 Tb 3.24-3.63, 1 Sm 3.39, 1 Er 3.46, 1 Y 3.59
Tb6 0.1874 0.5728 0.0195  3 Tb 3.24-3.63, 1 Sm 3.39, 1 Er 3.46, 1 Y 3.59
Tb7 0.6874 0.0195 0.5728  3 Tb 3.24-3.63, 1 Sm 3.39, 1 Er 3.46, 1 Y 3.59
Tb8 0.8126 0.4272 0.9805  3 Tb 3.24-3.63, 1 Sm 3.39, 1 Er 3.46, 1 Y 3.59
Tb9 0.1196 0.7103 0.4990  4 Tb 3.24-3.54, 3 Sm 3.25-3.43, 2 Er 3.42-3.56
Tb10 0.3804 0.5010 0.2897  4 Tb 3.24-3.54, 3 Sm 3.25-3.43, 2 Er 3.42-3.56
Tb11 0.8804 0.2897 0.5010  4 Tb 3.24-3.54, 3 Sm 3.25-3.43, 2 Er 3.42-3.56
Tb12 0.6196 0.4990 0.7103  4 Tb 3.24-3.54, 3 Sm 3.25-3.43, 2 Er 3.42-3.56
Sm1 0.4574 0.8038 0.6972  5 Tb 3.25-3.50, 2 Y 3.39-3.41, 1 Er 3.56
Sm2 0.0426 0.3028 0.1962  5 Tb 3.25-3.50, 2 Y 3.39-3.41, 1 Er 3.56
Sm3 0.5426 0.1962 0.3028  5 Tb 3.25-3.50, 2 Y 3.39-3.41, 1 Er 3.56
Sm4 0.9574 0.6972 0.8038  5 Tb 3.25-3.50, 2 Y 3.39-3.41, 1 Er 3.56
Y1 0.2500 0.9797 0.0203  4 Sm 3.39-3.41, 4 Tb 3.59-3.68
Y2 0.7500 0.0203 0.9797  4 Sm 3.39-3.41, 4 Tb 3.59-3.68
Er1 0.2500 0.4085 0.5915  8 Tb 3.42-3.82, 2 Sm 3.56
Er2 0.7500 0.5915 0.4085  8 Tb 3.42-3.82, 2 Sm 3.56

## Properties
ΔE_f: 114 meV/atom

***

Entry 8:
## BaGaTc2 (GGA-PBE)

Data for an optimized crystal structure of BaGaTc2.

Cell: 4.7432 4.7432 9.8023 Å, 76.00 76.00 90.00°
With the nearest neighbours (Å) after each atom.
Sites, in units of the cell vectors:
Ba1 0.0000 0.0000 0.0000  4 Ga 3.35, 8 Tc 3.38-3.65
Ba2 0.7500 0.2500 0.5000  4 Ga 3.35, 8 Tc 3.38-3.65
Ga1 0.5000 0.5000 0.0000  4 Tc 2.60
Ga2 0.2500 0.7500 0.5000  4 Tc 2.60
Tc1 0.4171 0.1250 0.2500  2 Tc 2.40, 2 Ga 2.60
Tc2 0.3329 0.6250 0.2500  2 Tc 2.40, 2 Ga 2.60
Tc3 0.3750 0.5829 0.7500  2 Tc 2.40, 2 Ga 2.60
Tc4 0.8750 0.6671 0.7500  2 Tc 2.40, 2 Ga 2.60

## Properties
ΔE_f: 575 meV/atom

***

In order of appearance, magnetization = 1.45 0.00 0.00 0.00 0.00 0.00 0.00 0.52 μB per formula unit.